# 1
Na2LiPt2O6: relaxed, PBE.

The space group is C2/m (No. 12) and the conventional cell measures 5.2663, 9.4334 and 5.6764 Å, with angles of 90.00, 106.68 and 90.00 degrees. The asymmetric unit holds Na at (0.0000, 0.1584, 0.0000), Li at (0.0000, 0.0000, 0.5000), Pt at (0.0000, 0.3366, 0.5000), O at (0.2137, 0.5000, 0.6949) and O at (0.2331, 0.1799, 0.6961).

The density of states at the Fermi level is 23.3 states/eV/cell. Its raw formation energy is -11.8 eV per formula unit.


# 2
MgTc2Sb: relaxed, PBE.

The space group is I-42d (No. 122) and the conventional cell measures 7.4330, 7.4330 and 5.4672 Å, with angles of 90.00, 90.00 and 90.00 degrees. The asymmetric unit holds Mg at (0.0000, 0.0000, 0.0000), Tc at (0.2320, 0.2500, 0.6250) and Sb at (0.0000, 0.0000, 0.5000).

For the distance to the lowest polymorph of the same formula, the calculation gives 0.709 eV per atom. The density of states at the Fermi level is 17.6 states/eV/cell. Its raw formation energy is 3.0 eV per formula unit.


# 3
PmY3Tl4Se8: relaxed, PBE.

The space group is R-3m (No. 166, hexagonal axes) and the conventional cell measures 8.4340, 8.4340 and 23.3012 Å, with angles of 90.00, 90.00 and 120.00 degrees. The asymmetric unit holds Pm at (0.0000, 0.0000, 0.0000), Y at (0.0000, 0.5000, 0.0000), Tl at (0.0000, 0.0000, 0.5000), Tl at (0.0000, 0.5000, 0.5000), Se at (0.0000, 0.0000, 0.2653) and Se at (0.0053, 0.5026, 0.2645).

Its raw formation energy is -22.3 eV per formula unit.


# 4
LiRe3H: relaxed, PBE.

The space group is Pm-3m (No. 221) and the conventional cell measures 3.9089, 3.9089 and 3.9089 Å, with angles of 90.00, 90.00 and 90.00 degrees. The asymmetric unit holds Li at (0.0000, 0.0000, 0.0000), Re at (0.0000, 0.5000, 0.5000) and H at (0.5000, 0.5000, 0.5000).

For the distance to the lowest polymorph of the same formula, the calculation gives 0.000 eV per atom. The density of states at the Fermi level is 4.5 states/eV/cell.


# 5
CeMgNi2H6: relaxed, PBE.

The space group is R-3m (No. 166, hexagonal axes) and the conventional cell measures 4.4318, 4.4318 and 15.5082 Å, with angles of 90.00, 90.00 and 120.00 degrees. The asymmetric unit holds Ce at (0.0000, 0.0000, 0.0000), Mg at (0.0000, 0.0000, 0.5000), Ni at (0.0000, 0.0000, 0.2096) and H at (0.0037, 0.5019, 0.9352).

The total energy is -126.496 eV/cell. The density of states at the Fermi level is 18.0 states/eV/cell.


# 6
Cs2BaSBr6: relaxed, PBE.

The space group is I4/mmm (No. 139) and the conventional cell measures 7.9889, 7.9889 and 14.1241 Å, with angles of 90.00, 90.00 and 90.00 degrees. The asymmetric unit holds Cs at (0.0000, 0.5000, 0.2500), Ba at (0.0000, 0.0000, 0.0000), S at (0.0000, 0.0000, 0.5000), Br at (0.0000, 0.0000, 0.2226) and Br at (0.2201, 0.2201, 0.5000).

The density of states at the Fermi level is 0.0 states/eV/cell. Its raw formation energy is -12.4 eV per formula unit.


Repeat the fifth record exactly.
CeMgNi2H6: relaxed, PBE.

The space group is R-3m (No. 166, hexagonal axes) and the conventional cell measures 4.4318, 4.4318 and 15.5082 Å, with angles of 90.00, 90.00 and 120.00 degrees. The asymmetric unit holds Ce at (0.0000, 0.0000, 0.0000), Mg at (0.0000, 0.0000, 0.5000), Ni at (0.0000, 0.0000, 0.2096) and H at (0.0037, 0.5019, 0.9352).

The total energy is -126.496 eV/cell. The density of states at the Fermi level is 18.0 states/eV/cell.